1.
# CsMgMoIr, optimized geometry, DFT PBE-GGA
# * E above lowest polymorph: 307.1 meV/atom
# * total magnetic moment: 11.5 μB per cell
data_CsMgMoIr
_chemical_formula_sum 'Cs4 Mg4 Mo4 Ir4'
_space_group_name_H-M_alt 'F -4 3 m'
_space_group_IT_number 216
_space_group_name_Hall 'F -4 2 3'
_cell_length_a 6.956
_cell_length_b 6.956
_cell_length_c 6.956
_cell_angle_alpha 90.00
_cell_angle_beta 90.00
_cell_angle_gamma 90.00
loop_
_atom_site_label
_atom_site_fract_x
_atom_site_fract_y
_atom_site_fract_z
_atom_site_occupancy
Cs1 0.000 0.000 0.000 1
Mg1 0.000 0.000 0.500 1
Mo1 0.250 0.250 0.250 1
Ir1 0.250 0.250 0.750 1



2.
# CsMgTeIr, optimized geometry, DFT PBE-GGA
# * E above lowest polymorph: 82.7 meV/atom
# * total magnetic moment: 0.0 μB per cell
data_CsMgTeIr
_chemical_formula_sum 'Cs4 Mg4 Te4 Ir4'
_space_group_name_H-M_alt 'F -4 3 m'
_space_group_IT_number 216
_space_group_name_Hall 'F -4 2 3'
_cell_length_a 7.343
_cell_length_b 7.343
_cell_length_c 7.343
_cell_angle_alpha 90.00
_cell_angle_beta 90.00
_cell_angle_gamma 90.00
loop_
_atom_site_label
_atom_site_fract_x
_atom_site_fract_y
_atom_site_fract_z
_atom_site_occupancy
Cs1 0.000 0.000 0.000 1
Mg1 0.250 0.250 0.250 1
Te1 0.000 0.000 0.500 1
Ir1 0.250 0.250 0.750 1



3.
# CsMgTeIr, optimized geometry, DFT PBE-GGA
# * E above lowest polymorph: 0.0 meV/atom
# * total magnetic moment: 0.0 μB per cell
data_CsMgTeIr
_chemical_formula_sum 'Cs4 Mg4 Te4 Ir4'
_space_group_name_H-M_alt 'F -4 3 m'
_space_group_IT_number 216
_space_group_name_Hall 'F -4 2 3'
_cell_length_a 7.380
_cell_length_b 7.380
_cell_length_c 7.380
_cell_angle_alpha 90.00
_cell_angle_beta 90.00
_cell_angle_gamma 90.00
loop_
_atom_site_label
_atom_site_fract_x
_atom_site_fract_y
_atom_site_fract_z
_atom_site_occupancy
Cs1 0.000 0.000 0.000 1
Mg1 0.250 0.250 0.750 1
Te1 0.250 0.250 0.250 1
Ir1 0.000 0.000 0.500 1



4.
# CsIr3N5, optimized geometry, DFT PBE-GGA
# * total magnetic moment: 0.4 μB per cell
# * final energy: -59.5 eV per cell
data_CsIr3N5
_chemical_formula_sum 'Cs1 Ir3 N5'
_space_group_name_H-M_alt 'P 6/m m m'
_space_group_IT_number 191
_space_group_name_Hall '-P 6 2'
_cell_length_a 5.2627
_cell_length_b 5.2627
_cell_length_c 6.4442
_cell_angle_alpha 90.00
_cell_angle_beta 90.00
_cell_angle_gamma 120.00
loop_
_atom_site_label
_atom_site_fract_x
_atom_site_fract_y
_atom_site_fract_z
_atom_site_occupancy
Cs1 0.0000 0.0000 0.0000 1
Ir1 0.0000 0.5000 0.5000 1
N1 0.0000 0.0000 0.5000 1
N2 0.3333 0.6667 0.2950 1



5.
# CsIrN3, optimized geometry, DFT PBE-GGA
# * total magnetic moment: 0.0 μB per cell
# * final energy: -61.2 eV per cell
data_CsIrN3
_chemical_formula_sum 'Cs2 Ir2 N6'
_space_group_name_H-M_alt 'C 1 m 1'
_space_group_IT_number 8
_cell_length_a 7.521
_cell_length_b 7.394
_cell_length_c 3.315
_cell_angle_alpha 90.00
_cell_angle_beta 90.15
_cell_angle_gamma 90.00
loop_
_space_group_symop_operation_xyz
'x,y,z'
'x,-y,z'
'x+1/2,y+1/2,z'
'x+1/2,-y+1/2,z'
loop_
_atom_site_label
_atom_site_fract_x
_atom_site_fract_y
_atom_site_fract_z
_atom_site_occupancy
Cs1 0.000 0.000 0.000 1
Ir1 0.453 0.000 0.501 1
N1 0.087 0.500 0.002 1
N2 0.320 0.195 0.500 1



6.
# CsNaIr, optimized geometry, DFT PBE-GGA
# * E above lowest polymorph: 317.3 meV/atom
# * total magnetic moment: 4.0 μB per cell
data_CsNaIr
_chemical_formula_sum 'Cs4 Na4 Ir4'
_space_group_name_H-M_alt 'F -4 3 m'
_space_group_IT_number 216
_space_group_name_Hall 'F -4 2 3'
_cell_length_a 7.477
_cell_length_b 7.477
_cell_length_c 7.477
_cell_angle_alpha 90.00
_cell_angle_beta 90.00
_cell_angle_gamma 90.00
loop_
_atom_site_label
_atom_site_fract_x
_atom_site_fract_y
_atom_site_fract_z
_atom_site_occupancy
Cs1 0.000 0.000 0.000 1
Na1 0.250 0.250 0.250 1
Ir1 0.250 0.250 0.750 1



7.
# CsNaIr, optimized geometry, DFT PBE-GGA
# * E above lowest polymorph: 0.0 meV/atom
# * total magnetic moment: 4.0 μB per cell
data_CsNaIr
_chemical_formula_sum 'Cs4 Na4 Ir4'
_space_group_name_H-M_alt 'F -4 3 m'
_space_group_IT_number 216
_space_group_name_Hall 'F -4 2 3'
_cell_length_a 7.531
_cell_length_b 7.531
_cell_length_c 7.531
_cell_angle_alpha 90.00
_cell_angle_beta 90.00
_cell_angle_gamma 90.00
loop_
_atom_site_label
_atom_site_fract_x
_atom_site_fract_y
_atom_site_fract_z
_atom_site_occupancy
Cs1 0.000 0.000 0.000 1
Na1 0.000 0.000 0.500 1
Ir1 0.250 0.250 0.250 1



8.
# Cs2Na2IrO4, optimized geometry, DFT PBE-GGA
# * total magnetic moment: 12.0 μB per cell
# * final energy: -175.4 eV per cell
data_Cs2Na2IrO4
_chemical_formula_sum 'Cs8 Na8 Ir4 O16'
_space_group_name_H-M_alt 'C 1 2/m 1'
_space_group_IT_number 12
_cell_length_a 11.926
_cell_length_b 5.900
_cell_length_c 9.591
_cell_angle_alpha 90.00
_cell_angle_beta 104.19
_cell_angle_gamma 90.00
loop_
_space_group_symop_operation_xyz
'x,y,z'
'-x,-y,-z'
'-x,y,-z'
'x,-y,z'
'x+1/2,y+1/2,z'
'-x+1/2,-y+1/2,-z'
'-x+1/2,y+1/2,-z'
'x+1/2,-y+1/2,z'
loop_
_atom_site_label
_atom_site_fract_x
_atom_site_fract_y
_atom_site_fract_z
_atom_site_occupancy
Cs1 0.162 0.000 0.362 1
Cs2 0.172 0.000 0.741 1
Na1 0.025 0.500 0.157 1
Na2 0.216 0.500 0.926 1
Ir1 0.000 0.000 0.000 1
Ir2 0.000 0.500 0.500 1
O1 0.106 0.500 0.689 1
O2 0.118 0.231 0.032 1
O3 0.127 0.500 0.407 1



> total magnetic moment of number 1 (CsMgMoIr)?

11.5 μB per cell



> What is the total magnetic moment in the second record?

0.0 μB per cell



Copy entry 6 word for word.
# CsNaIr, optimized geometry, DFT PBE-GGA
# * E above lowest polymorph: 317.3 meV/atom
# * total magnetic moment: 4.0 μB per cell
data_CsNaIr
_chemical_formula_sum 'Cs4 Na4 Ir4'
_space_group_name_H-M_alt 'F -4 3 m'
_space_group_IT_number 216
_space_group_name_Hall 'F -4 2 3'
_cell_length_a 7.477
_cell_length_b 7.477
_cell_length_c 7.477
_cell_angle_alpha 90.00
_cell_angle_beta 90.00
_cell_angle_gamma 90.00
loop_
_atom_site_label
_atom_site_fract_x
_atom_site_fract_y
_atom_site_fract_z
_atom_site_occupancy
Cs1 0.000 0.000 0.000 1
Na1 0.250 0.250 0.250 1
Ir1 0.250 0.250 0.750 1



> The highest total magnetic moment belongs to which entry?

Cs2Na2IrO4